# 1
Density functional theory data (GGA-PBE) for a relaxed Pr3Sm2Dy4 crystal.

Values from the calculation:
Energy relative to the elements ... 0.196 eV per atom
Energy above the lowest structure with this stoichiometry ... 100.8 meV per atom

The structure in POSCAR format:
```
Pr3Sm2Dy4
1.0
5.536 -2.560 0.000
5.536 2.560 0.000
-2.205 0.000 11.025
Pr Sm Dy
3 2 4
direct
0.000 0.000 0.000
0.445 0.445 0.250
0.555 0.555 0.750
0.166 0.166 0.575
0.834 0.834 0.425
0.146 0.146 0.279
0.278 0.278 0.897
0.722 0.722 0.103
0.854 0.854 0.721
```

# 2
Density functional theory data (GGA-PBE) for a relaxed Pr2Sm6Dy3 crystal.

Values from the calculation:
Energy relative to the elements ... 0.170 eV per atom
Energy above the lowest structure with this stoichiometry ... 0.0 meV per atom

The structure in POSCAR format:
```
Pr2Sm6Dy3
1.0
3.103 -5.383 0.000
3.103 5.383 0.000
-2.106 0.000 11.651
Pr Sm Dy
2 6 3
direct
0.167 0.833 0.000
0.833 0.167 0.000
0.083 0.416 0.747
0.251 0.251 0.253
0.416 0.083 0.747
0.584 0.917 0.253
0.749 0.749 0.747
0.917 0.584 0.253
0.000 0.000 0.500
0.335 0.665 0.500
0.665 0.335 0.500
```

# 3
Density functional theory data (GGA-PBE) for a relaxed PrSm8Dy3 crystal.

Values from the calculation:
Energy relative to the elements ... 0.333 eV per atom

The structure in POSCAR format:
```
PrSm8Dy3
1.0
-3.279 5.694 5.786
3.279 -5.694 5.786
3.279 5.694 -5.786
Pr Sm Dy
1 8 3
direct
0.000 0.000 0.000
0.085 0.251 0.834
0.258 0.243 0.503
0.260 0.757 0.015
0.417 0.251 0.166
0.583 0.749 0.833
0.740 0.755 0.497
0.742 0.245 0.985
0.915 0.749 0.167
0.259 0.759 0.500
0.500 0.500 0.000
0.741 0.241 0.500
```

# 4
Density functional theory data (GGA-PBE) for a relaxed Pr2SmDy5 crystal.

Values from the calculation:
Energy relative to the elements ... 0.019 eV per atom
Energy above the lowest structure with this stoichiometry ... 0.0 meV per atom

The structure in POSCAR format:
```
Pr2SmDy5
1.0
7.188 0.000 0.000
0.000 14.377 0.000
0.000 0.000 5.087
Pr Sm Dy
4 2 10
direct
0.249 0.126 0.000
0.251 0.626 0.000
0.749 0.374 0.000
0.751 0.874 0.000
0.000 0.500 0.500
0.500 0.000 0.500
0.000 0.000 0.500
0.001 0.751 0.500
0.249 0.375 0.000
0.251 0.875 0.000
0.499 0.251 0.500
0.500 0.500 0.500
0.501 0.749 0.500
0.749 0.125 0.000
0.751 0.625 0.000
0.999 0.249 0.500
```

# 5
Density functional theory data (GGA-PBE) for a relaxed PrSm12Dy7 crystal.

Values from the calculation:
Energy relative to the elements ... 0.667 eV per atom
Energy above the lowest structure with this stoichiometry ... 505.1 meV per atom

The structure in POSCAR format:
```
PrSm12Dy7
1.0
-5.738 5.738 5.738
5.738 -5.738 5.738
5.738 5.738 -5.738
Pr Sm Dy
1 12 7
direct
0.000 0.000 0.000
0.001 0.254 0.746
0.254 0.254 0.508
0.254 0.508 0.254
0.254 0.746 0.001
0.254 0.999 0.746
0.492 0.746 0.746
0.508 0.254 0.254
0.746 0.001 0.254
0.746 0.254 0.999
0.746 0.492 0.746
0.746 0.746 0.492
0.999 0.746 0.254
0.000 0.000 0.500
0.000 0.500 0.000
0.000 0.500 0.500
0.500 0.000 0.000
0.500 0.000 0.500
0.500 0.500 0.000
0.500 0.500 0.500
```

# 6
Density functional theory data (GGA-PBE) for a relaxed Pr2Sm6Dy crystal.

Values from the calculation:
Energy relative to the elements ... 0.114 eV per atom
Energy above the lowest structure with this stoichiometry ... 58.6 meV per atom

The structure in POSCAR format:
```
Pr2Sm6Dy
1.0
6.486 -7.328 0.000
6.486 7.328 0.000
-1.745 0.000 6.503
Pr Sm Dy
4 12 2
direct
0.121 0.170 0.373
0.170 0.121 0.873
0.830 0.879 0.127
0.879 0.830 0.627
0.037 0.441 0.723
0.150 0.776 0.993
0.224 0.850 0.507
0.276 0.462 0.182
0.441 0.037 0.223
0.462 0.276 0.682
0.538 0.724 0.318
0.559 0.963 0.777
0.724 0.538 0.818
0.776 0.150 0.493
0.850 0.224 0.007
0.963 0.559 0.277
0.384 0.616 0.750
0.616 0.384 0.250
```